[1]
18
Lattice="-7.490 4.681 -0.147 -0.570 -1.187 -8.735 0.088 -8.021 5.551" Properties=species:S:1:pos:R:3 comment="PBE PmErTm5Th2, relaxed" e_form_ev_per_atom=0.3453 total_energy_ev_per_atom=-4.8226 magmom_total_mub_per_cell=0.00 space_group="I4/mcm (140)" pbc="T T T"
Pm -1.971 -3.137 0.555
Pm -6.002 -1.390 -3.886
Er -2.256 -3.730 -3.813
Er -5.716 -0.797 0.482
Tm -7.188 1.630 -2.362
Tm -4.924 -2.928 2.576
Tm -0.784 -6.157 -0.969
Tm -1.131 -5.169 3.386
Tm -4.578 -3.917 -1.779
Tm -6.842 0.641 -6.717
Tm -3.395 -0.610 -1.552
Tm -3.048 -1.599 -5.907
Tm -4.030 1.747 -4.441
Tm 0.000 0.000 0.000
Th -1.105 0.102 -3.350
Th -4.700 2.754 -1.125
Th -3.361 0.740 -7.756
Th -6.956 3.392 -5.532

=====

[2]
12
Lattice="-0.881 -0.523 -6.063 -0.412 -4.965 3.604 -10.794 3.821 2.280" Properties=species:S:1:pos:R:3 comment="PBE Pm3ErTm6Th2, relaxed" e_form_ev_per_atom=0.0179 total_energy_ev_per_atom=-5.0224 magmom_total_mub_per_cell=0.00 space_group="C2/m (12)" pbc="T T T"
Pm -5.887 -2.316 3.138
Pm -6.200 0.650 -3.317
Pm -6.044 -0.833 -0.089
Er 0.000 0.000 0.000
Tm -9.191 -0.484 -1.753
Tm -3.619 -3.146 -1.270
Tm -2.896 -1.183 1.574
Tm -9.033 -1.981 1.505
Tm -8.469 1.480 1.091
Tm -3.054 0.314 -1.684
Th -0.568 -3.484 0.381
Th -0.725 -2.004 -2.840

=====

[3]
10
Lattice="6.676 0.000 0.000 0.000 6.674 0.000 0.000 -3.337 7.814" Properties=species:S:1:pos:R:3 comment="PBE PmYErTh2, relaxed" e_form_ev_per_atom=0.4022 total_energy_ev_per_atom=-5.7213 magmom_total_mub_per_cell=0.00 space_group="Cmcm (63)" pbc="T T T"
Pm 1.669 3.337 5.439
Pm 5.007 0.000 2.374
Y 5.007 3.337 3.807
Y 1.669 0.000 4.007
Er 1.669 3.337 2.363
Er 5.007 0.000 5.450
Th 3.338 1.684 0.000
Th 0.000 4.990 0.000
Th 3.338 4.990 0.000
Th 0.000 1.684 0.000

=====

[4]
10
Lattice="6.395 0.000 0.000 0.000 8.571 0.986 0.000 -1.535 6.108" Properties=species:S:1:pos:R:3 comment="PBE PmY2ErTh, relaxed" e_form_ev_per_atom=0.3383 total_energy_ev_per_atom=-5.5940 magmom_total_mub_per_cell=0.00 space_group="P2/c (13)" pbc="T T T"
Pm 0.000 0.000 0.000
Pm 0.000 -0.767 3.054
Y 4.417 4.665 5.499
Y 4.417 1.604 4.648
Y 1.977 5.432 2.445
Y 1.977 2.371 1.594
Er 1.125 3.134 5.073
Er 5.269 3.902 2.020
Th 3.519 -0.384 1.527
Th 2.876 -1.151 4.581

=====

[5]
10
Lattice="6.364 0.000 0.000 0.000 8.465 1.163 0.000 -1.387 6.231" Properties=species:S:1:pos:R:3 comment="PBE Pm2YErTh, relaxed" e_form_ev_per_atom=0.3158 total_energy_ev_per_atom=-5.2738 magmom_total_mub_per_cell=0.00 space_group="P2/c (13)" pbc="T T T"
Pm 4.476 4.747 5.637
Pm 4.476 1.637 4.873
Pm 1.888 5.441 2.521
Pm 1.888 2.331 1.758
Y 0.000 0.000 0.000
Y 0.000 -0.693 3.116
Er 1.168 3.192 5.255
Er 5.196 3.886 2.139
Th 3.497 -0.347 1.558
Th 2.867 -1.040 4.673

=====

[6]
11
Lattice="6.597 -0.591 -0.474 -3.774 5.443 -0.474 -1.925 -3.309 11.495" Properties=species:S:1:pos:R:3 comment="PBE Pm2Y6Er2Th, relaxed" e_form_ev_per_atom=0.1443 total_energy_ev_per_atom=-5.7494 magmom_total_mub_per_cell=0.00 space_group="Cmmm (65)" pbc="T T T"
Pm 5.180 0.233 -0.474
Pm -2.358 4.618 -0.474
Y 0.638 1.096 7.491
Y -2.290 -0.293 8.753
Y 0.259 0.446 3.056
Y 0.877 -2.135 8.753
Y 3.187 1.835 1.794
Y 0.020 3.678 1.794
Er -1.630 1.980 5.273
Er 2.527 -0.438 5.273
Th -0.963 -1.655 5.747

=====

[7]
12
Lattice="6.218 0.001 0.003 -3.107 5.386 0.003 -1.042 -1.805 11.657" Properties=species:S:1:pos:R:3 comment="PBE Pm3Y6ErTh2, relaxed" e_form_ev_per_atom=0.0181 total_energy_ev_per_atom=-6.0185 magmom_total_mub_per_cell=0.00 space_group="C2/m (12)" pbc="T T T"
Pm -2.076 3.587 5.831
Pm 4.145 -0.006 5.831
Pm 1.034 1.791 5.831
Y 3.117 1.770 8.803
Y 2.061 3.568 2.867
Y -1.048 1.812 2.859
Y -0.025 3.584 8.803
Y 0.008 0.014 8.795
Y 2.093 -0.002 2.859
Er 0.000 0.000 0.000
Th 0.003 3.590 0.003
Th 3.108 1.796 0.003

=====

[8]
12
Lattice="-0.113 -3.048 4.061 0.150 -6.397 -4.798 9.495 3.810 3.124" Properties=species:S:1:pos:R:3 comment="PBE PmY3ErTh, relaxed" e_form_ev_per_atom=0.0284 total_energy_ev_per_atom=-5.9926 magmom_total_mub_per_cell=0.00 space_group="P2_1/m (11)" pbc="T T T"
Pm 2.770 -0.425 1.346
Pm 6.763 -5.211 1.041
Y 0.461 -7.674 -0.984
Y 9.071 2.039 3.371
Y 4.401 -3.035 -0.568
Y 5.131 -2.600 2.955
Y 1.937 -3.948 1.854
Y 7.596 -1.687 0.533
Er 5.950 0.810 2.362
Er 3.582 -6.446 0.025
Th 1.225 -4.274 -1.586
Th 8.307 -1.361 3.974